CaZnSiNi2: optimized geometry, GGA-PBE.

Cell: 4.438 4.438 5.095 Å, 90.00 90.00 90.00°
Space group P4/mmm (No. 123)
Unique sites:
Ca 0.000 0.000 0.000 [1 per cell]
Zn 0.000 0.000 0.500 [1 per cell]
Si 0.500 0.500 0.000 [1 per cell]
Ni 0.000 0.500 0.500 [2 per cell]

Calculated values
VASP energy: -16.82 eV for the cell shown
Crystal system: tetragonal
DOS at the Fermi energy: 5.02 states/eV/f.u.
Calculated density: 4.153 Mg/m³
M_tot: 0.00 μB per atom

Si2Pd2W: optimized geometry, GGA-PBE.

Cell: 7.106 7.106 2.844 Å, 90.00 90.00 90.00°
Space group P4/mbm (No. 127)
Unique sites:
Si 0.155 0.345 0.000 [4 per cell]
Pd 0.143 0.643 0.500 [4 per cell]
W 0.000 0.000 0.000 [2 per cell]

Calculated values
VASP energy: -70.41 eV for the cell shown
Crystal system: tetragonal
DOS at the Fermi energy: 1.25 states/eV/f.u.
Calculated density: 10.474 Mg/m³
M_tot: 0.00 μB per atom

Ca4Nd2Bi3H2: optimized geometry, GGA-PBE.

Cell: 4.814 4.814 25.618 Å, 90.00 90.00 90.00°
Space group I4/mmm (No. 139)
Unique sites:
Ca 0.000 0.500 0.083 [8 per cell]
Nd 0.000 0.000 0.200 [4 per cell]
Bi 0.000 0.000 0.327 [4 per cell]
Bi 0.000 0.000 0.500 [2 per cell]
H 0.000 0.000 0.102 [4 per cell]

Calculated values
VASP energy: -87.05 eV for the cell shown
Crystal system: tetragonal
DOS at the Fermi energy: 3.49 states/eV/f.u.
Calculated density: 6.030 Mg/m³
M_tot: 0.00 μB per atom

SiHRh2Br: optimized geometry, GGA-PBE.

Cell: 4.306 4.306 3.550 Å, 90.00 90.00 90.00°
Space group P4/mmm (No. 123)
Unique sites:
Si 0.000 0.000 0.000 [1 per cell]
H 0.000 0.000 0.500 [1 per cell]
Rh 0.000 0.500 0.500 [2 per cell]
Br 0.500 0.500 0.000 [1 per cell]

Calculated values
VASP energy: -22.57 eV for the cell shown
Crystal system: tetragonal
DOS at the Fermi energy: 4.29 states/eV/f.u.
Calculated density: 7.940 Mg/m³
M_tot: 0.00 μB per atom

Tb4SmZn4: optimized geometry, GGA-PBE.

Cell: 9.544 9.544 5.094 Å, 90.00 90.00 90.00°
Space group I4/m (No. 87)
Unique sites:
Tb 0.109 0.347 0.000 [8 per cell]
Sm 0.000 0.000 0.000 [2 per cell]
Zn 0.077 0.180 0.500 [8 per cell]

Calculated values
Crystal system: tetragonal
DFT formation energy: -0.145 eV/atom
DOS at the Fermi energy: 8.30 states/eV/f.u.
Calculated density: 7.500 Mg/m³
M_tot: 0.00 μB per atom

Al2TlRu: optimized geometry, GGA-PBE.

Cell: 3.158 4.696 9.408 Å, 90.00 90.00 90.00°
Space group Imm2 (No. 44)
Unique sites:
Al 0.000 0.000 0.000 [2 per cell]
Al 0.000 0.500 0.238 [2 per cell]
Tl 0.000 0.000 0.464 [2 per cell]
Ru 0.000 0.500 0.705 [2 per cell]

Calculated values
Crystal system: orthorhombic
DFT formation energy: 0.158 eV/atom
DOS at the Fermi energy: 3.23 states/eV/f.u.
Calculated density: 8.555 Mg/m³
M_tot: 0.00 μB per atom

As2OsI2: optimized geometry, GGA-PBE.

Cell: 3.528 3.528 21.467 Å, 90.00 90.00 90.00°
Space group I4/mmm (No. 139)
Unique sites:
As 0.000 0.500 0.250 [4 per cell]
Os 0.000 0.000 0.000 [2 per cell]
I 0.000 0.000 0.424 [4 per cell]

Calculated values
VASP energy: -37.28 eV for the cell shown
Crystal system: tetragonal
DOS at the Fermi energy: 4.53 states/eV/f.u.
Calculated density: 7.382 Mg/m³
M_tot: 0.04 μB per atom

SmNp2N3: optimized geometry, GGA-PBE.

Cell: 3.475 4.960 10.486 Å, 90.00 90.00 90.00°
Space group Immm (No. 71)
Unique sites:
Sm 0.000 0.000 0.000 [2 per cell]
Np 0.000 0.000 0.335 [4 per cell]
N 0.000 0.500 0.000 [2 per cell]
N 0.000 0.500 0.320 [4 per cell]

Calculated values
VASP energy: -125.94 eV for the cell shown
Crystal system: orthorhombic
DOS at the Fermi energy: 10.95 states/eV/f.u.
Calculated density: 12.245 Mg/m³
M_tot: 1.11 μB per atom

NbGa2NiPb: optimized geometry, GGA-PBE.

Cell: 5.106 5.106 4.625 Å, 90.00 90.00 90.00°
Space group P4/mmm (No. 123)
Unique sites:
Nb 0.000 0.000 0.000 [1 per cell]
Ga 0.000 0.500 0.000 [2 per cell]
Ni 0.000 0.000 0.500 [1 per cell]
Pb 0.500 0.500 0.500 [1 per cell]

Calculated values
Crystal system: tetragonal
DFT formation energy: 0.615 eV/atom
DOS at the Fermi energy: 3.13 states/eV/f.u.
Calculated density: 6.862 Mg/m³
M_tot: 0.00 μB per atom

CeSm3Th2P6: optimized geometry, GGA-PBE.

Cell: 7.143 12.373 7.119 Å, 90.00 109.54 90.00°
Space group C2/m (No. 12)
Unique sites:
Ce 0.000 0.000 0.000 [2 per cell]
Sm 0.000 0.167 0.500 [4 per cell]
Sm 0.000 0.500 0.500 [2 per cell]
Th 0.000 0.333 0.000 [4 per cell]
P 0.249 0.000 0.751 [4 per cell]
P 0.249 0.166 0.249 [8 per cell]

Calculated values
Crystal system: monoclinic
DFT formation energy: -1.575 eV/atom
DOS at the Fermi energy: 7.70 states/eV/f.u.
Calculated density: 6.951 Mg/m³
M_tot: 0.05 μB per atom

TmTcGe: optimized geometry, GGA-PBE.

Cell: 12.880 3.603 7.167 Å, 90.00 90.00 90.00°
Space group Pmma (No. 51)
Unique sites:
Tm 0.048 0.000 0.225 [4 per cell]
Tm 0.250 0.000 0.663 [2 per cell]
Tc 0.127 0.500 0.920 [4 per cell]
Tc 0.250 0.500 0.309 [2 per cell]
Ge 0.095 0.500 0.555 [4 per cell]
Ge 0.250 0.000 0.057 [2 per cell]

Calculated values
Crystal system: orthorhombic
DFT formation energy: -0.494 eV/atom
DOS at the Fermi energy: 2.21 states/eV/f.u.
Calculated density: 10.172 Mg/m³
M_tot: 0.00 μB per atom

ScTiNF2: optimized geometry, GGA-PBE.

Cell: 3.943 3.943 4.420 Å, 90.00 90.00 90.00°
Space group P4/mmm (No. 123)
Unique sites:
Sc 0.000 0.000 0.000 [1 per cell]
Ti 0.500 0.500 0.500 [1 per cell]
N 0.000 0.000 0.500 [1 per cell]
F 0.000 0.500 0.000 [2 per cell]

Calculated values
VASP energy: -34.81 eV for the cell shown
Crystal system: tetragonal
DOS at the Fermi energy: 3.60 states/eV/f.u.
Calculated density: 3.499 Mg/m³
M_tot: 0.40 μB per atom

Ca3VFe: optimized geometry, GGA-PBE.

Cell: 5.380 5.380 5.380 Å, 90.00 90.00 90.00°
Space group Pm-3m (No. 221)
Unique sites:
Ca 0.000 0.000 0.500 [3 per cell]
V 0.500 0.500 0.500 [1 per cell]
Fe 0.000 0.000 0.000 [1 per cell]

Calculated values
Crystal system: cubic
DFT formation energy: 0.855 eV/atom
DOS at the Fermi energy: 5.16 states/eV/f.u.
Calculated density: 2.421 Mg/m³
M_tot: 1.19 μB per atom

MnReSe2: optimized geometry, GGA-PBE.

Cell: 5.729 8.143 3.500 Å, 90.00 123.04 90.00°
Space group C2/m (No. 12)
Unique sites:
Mn 0.000 0.000 0.000 [2 per cell]
Re 0.000 0.500 0.000 [2 per cell]
Se 0.250 0.250 0.500 [4 per cell]

Calculated values
VASP energy: -51.85 eV for the cell shown
Crystal system: monoclinic
DOS at the Fermi energy: 3.83 states/eV/f.u.
Calculated density: 9.683 Mg/m³
M_tot: 0.79 μB per atom

BeNi2Ir2: optimized geometry, GGA-PBE.

Cell: 3.135 3.135 13.015 Å, 90.00 90.00 90.00°
Space group I4/mmm (No. 139)
Unique sites:
Be 0.000 0.000 0.000 [2 per cell]
Ni 0.000 0.500 0.250 [4 per cell]
Ir 0.000 0.000 0.403 [4 per cell]

Calculated values
Crystal system: tetragonal
DFT formation energy: 0.257 eV/atom
DOS at the Fermi energy: 5.29 states/eV/f.u.
Calculated density: 13.265 Mg/m³
M_tot: 0.00 μB per atom

CdGa2Ag6: optimized geometry, GGA-PBE.

Cell: 10.664 10.164 7.368 Å, 90.00 124.37 90.00°
Space group C2/c (No. 15)
Unique sites:
Cd 0.000 0.171 0.250 [4 per cell]
Ga 0.182 0.412 0.432 [8 per cell]
Ag 0.048 0.370 0.984 [8 per cell]
Ag 0.106 0.096 0.688 [8 per cell]
Ag 0.235 0.150 0.146 [8 per cell]

Calculated values
Crystal system: monoclinic
DFT formation energy: 0.020 eV/atom
DOS at the Fermi energy: 1.95 states/eV/f.u.
Calculated density: 9.060 Mg/m³
M_tot: 0.00 μB per atom

BaLiNpO5: optimized geometry, GGA-PBE.

Cell: 7.335 9.854 8.169 Å, 90.00 114.89 90.00°
Space group C2/c (No. 15)
Unique sites:
Ba 0.000 0.170 0.250 [4 per cell]
Li 0.000 0.194 0.750 [4 per cell]
Np 0.000 0.500 0.000 [4 per cell]
O 0.000 0.438 0.250 [4 per cell]
O 0.085 0.311 0.585 [8 per cell]
O 0.218 0.054 0.905 [8 per cell]

Calculated values
VASP energy: -251.48 eV for the cell shown
Crystal system: monoclinic
Calculated density: 5.720 Mg/m³
M_tot: 0.00 μB per atom

LiCd2Se: optimized geometry, GGA-PBE.

Cell: 3.3363 3.3363 27.3147 Å, 90.00 90.00 120.00°
Space group R-3m (No. 166, hexagonal axes)
Unique sites:
Li 0.0000 0.0000 0.0000 [3 per cell]
Cd 0.0000 0.0000 0.2509 [6 per cell]
Se 0.0000 0.0000 0.5000 [3 per cell]

Calculated values
VASP energy: -22.63 eV for the cell shown
Crystal system: trigonal
DOS at the Fermi energy: 1.92 states/eV/f.u.
Calculated density: 5.879 Mg/m³
M_tot: 0.00 μB per atom

Li2MnVAg: optimized geometry, GGA-PBE.

Cell: 4.270 4.270 4.790 Å, 90.00 90.00 90.00°
Space group P4/mmm (No. 123)
Unique sites:
Li 0.000 0.500 0.000 [2 per cell]
Mn 0.000 0.000 0.000 [1 per cell]
V 0.500 0.500 0.500 [1 per cell]
Ag 0.000 0.000 0.500 [1 per cell]

Calculated values
Crystal system: tetragonal
DFT formation energy: 1.550 eV/atom
DOS at the Fermi energy: 11.06 states/eV/f.u.
Calculated density: 4.328 Mg/m³
M_tot: 0.12 μB per atom

CsRhPb2: optimized geometry, GGA-PBE.

Cell: 3.561 3.561 9.088 Å, 90.00 90.00 90.00°
Space group P4/mmm (No. 123)
Unique sites:
Cs 0.000 0.000 0.000 [1 per cell]
Rh 0.000 0.000 0.500 [1 per cell]
Pb 0.500 0.500 0.328 [2 per cell]

Calculated values
Crystal system: tetragonal
DFT formation energy: -0.046 eV/atom
DOS at the Fermi energy: 3.15 states/eV/f.u.
Calculated density: 9.371 Mg/m³
M_tot: 0.00 μB per atom